Entry P
The following is a GGA-PBE calculation of a geometry-optimized CrSbTe2P structure, from Alexandria.

Cell lengths 4.9467, 4.9467, 5.0761 Å; angles 90.00, 90.00, 90.00 degrees
Positions (direct):
Cr: 0.0000 0.0000 0.0000
Sb: 0.0000 0.0000 0.5000
Te: 0.0000 0.5000 0.0000
Te: 0.5000 0.0000 0.0000
P: 0.5000 0.5000 0.5000

## Properties
Its volume is 24.84 A^3/atom.

***

Entry Q
The following is a GGA-PBE calculation of a geometry-optimized CrSbTe2P structure, from Alexandria.

Cell lengths 5.2196, 5.2196, 4.9883 Å; angles 90.00, 90.00, 90.00 degrees
Positions (direct):
Cr: 0.0000 0.0000 0.0000
Sb: 0.5000 0.5000 0.0000
Te: 0.0000 0.5000 0.5000
Te: 0.5000 0.0000 0.5000
P: 0.5000 0.5000 0.5000

## Properties
Its volume is 27.18 A^3/atom.

***

Most stable = entry P